Record 1
MgPb (SCAN, PBEsol geometry); D(E_F) = 0.45 states/eV per atom; formation enthalpy at 0 K = -29 kJ/mol of formula units; M_tot = 0.00 Bohr magnetons per cell; ρ = 7.62 g/cm3
1.0
3.772 0.000 0.000
0.000 3.772 0.000
0.000 0.000 3.545
Mg Pb
1 1
Cartesian
0.000 0.000 0.000 Mg
1.886 1.886 1.773 Pb

Record 2
Mg3Pb (SCAN, PBEsol geometry); D(E_F) = 0.41 states/eV per atom; formation enthalpy at 0 K = -35 kJ/mol of formula units; M_tot = 0.00 Bohr magnetons per cell; ρ = 4.87 g/cm3
1.0
-1.677 5.238 2.719
1.677 -5.238 2.719
1.677 5.238 -2.719
Mg Pb
3 1
Cartesian
0.000 0.000 0.000 Mg
1.677 2.605 0.860 Mg
0.000 2.633 3.579 Mg
1.677 0.000 2.713 Pb

Record 3
Mg3Pb (SCAN, PBEsol geometry); D(E_F) = 0.30 states/eV per atom; formation enthalpy at 0 K = -43 kJ/mol of formula units; M_tot = 0.04 Bohr magnetons per cell; ρ = 4.74 g/cm3
1.0
8.371 0.000 0.000
-4.185 7.249 0.000
0.000 0.000 9.706
Mg Pb
18 6
Cartesian
0.000 0.000 2.585 Mg
0.000 0.000 7.438 Mg
-1.064 1.843 0.000 Mg
-1.544 2.674 3.292 Mg
-2.642 4.576 8.145 Mg
-3.121 5.406 4.853 Mg
2.129 0.000 0.000 Mg
1.064 1.843 4.853 Mg
0.000 4.833 0.353 Mg
0.000 4.833 5.206 Mg
3.087 0.000 3.292 Mg
1.544 2.674 8.145 Mg
5.284 0.000 8.145 Mg
2.642 4.576 3.292 Mg
4.185 2.416 0.353 Mg
4.185 2.416 5.206 Mg
6.242 0.000 4.853 Mg
3.121 5.406 0.000 Mg
-1.420 2.460 6.564 Pb
-2.765 4.790 1.711 Pb
2.840 0.000 6.564 Pb
1.420 2.460 1.711 Pb
5.531 0.000 1.711 Pb
2.765 4.790 6.564 Pb

Record 4
Mg2Pb (SCAN, PBEsol geometry); D(E_F) = 0.42 states/eV per atom; formation enthalpy at 0 K = -33 kJ/mol of formula units; M_tot = 0.00 Bohr magnetons per cell; ρ = 5.79 g/cm3
1.0
4.831 -2.804 0.000
4.831 2.804 0.000
0.000 0.000 5.418
Mg Pb
4 2
Cartesian
3.213 1.788 4.064 Mg
6.449 1.788 4.064 Mg
3.213 -1.788 1.355 Mg
6.449 -1.788 1.355 Mg
4.831 1.072 1.355 Pb
4.831 -1.072 4.064 Pb

Record 5
Mg5Pb (SCAN, PBEsol geometry); D(E_F) = 0.28 states/eV per atom; formation enthalpy at 0 K = -51 kJ/mol of formula units; ΔE to the lowest computed polymorph = 10 meV/atom; M_tot = 0.00 Bohr magnetons per cell; ρ = 3.89 g/cm3
1.0
5.555 0.000 0.000
-2.778 4.811 0.000
0.000 0.000 5.254
Mg Pb
5 1
Cartesian
-1.829 3.168 0.000 Mg
0.000 3.207 2.627 Mg
0.949 1.643 0.000 Mg
3.658 0.000 0.000 Mg
2.778 1.604 2.627 Mg
0.000 0.000 2.627 Pb

Record 6
MgPb (SCAN, PBEsol geometry); D(E_F) = 0.25 states/eV per atom; formation enthalpy at 0 K = -31 kJ/mol of formula units; M_tot = 0.00 Bohr magnetons per cell; ρ = 7.50 g/cm3
1.0
1.764 1.018 4.755
-1.764 1.018 4.755
0.000 -2.037 4.755
Mg Pb
1 1
Cartesian
0.000 0.000 0.000 Mg
0.000 0.000 7.132 Pb

Record 7
MgPb (SCAN, PBEsol geometry); D(E_F) = 0.44 states/eV per atom; formation enthalpy at 0 K = -11 kJ/mol of formula units; M_tot = 0.00 Bohr magnetons per cell; ρ = 7.29 g/cm3
1.0
1.711 -2.943 0.000
1.711 2.943 0.000
0.000 0.000 5.239
Mg Pb
1 1
Cartesian
0.000 0.000 0.000 Mg
1.711 0.000 2.619 Pb

Record 8
MgPb2 (SCAN, PBEsol geometry); D(E_F) = 0.35 states/eV per atom; formation enthalpy at 0 K = -28 kJ/mol of formula units; ΔE to the lowest computed polymorph = 29 meV/atom; M_tot = 0.00 Bohr magnetons per cell; ρ = 8.30 g/cm3
1.0
0.000 3.527 3.527
3.527 0.000 3.527
3.527 3.527 0.000
Mg Pb
1 2
Cartesian
0.000 0.000 0.000 Mg
1.764 1.764 1.764 Pb
5.291 5.291 5.291 Pb

Record 9
Mg4Pb3 (SCAN, PBEsol geometry); D(E_F) = 0.45 states/eV per atom; formation enthalpy at 0 K = -73 kJ/mol of formula units; M_tot = 0.00 Bohr magnetons per cell; ρ = 6.71 g/cm3
1.0
-1.890 1.890 12.442
1.890 -1.890 12.442
1.890 1.890 -12.442
Mg Pb
4 3
Cartesian
0.000 0.000 1.688 Mg
0.000 0.000 9.067 Mg
0.000 0.000 15.818 Mg
0.000 0.000 23.196 Mg
0.000 0.000 4.993 Pb
0.000 0.000 12.442 Pb
0.000 0.000 19.892 Pb

Record 10
Mg2Pb3 (SCAN, PBEsol geometry); D(E_F) = 0.49 states/eV per atom; formation enthalpy at 0 K = -39 kJ/mol of formula units; ΔE to the lowest computed polymorph = 58 meV/atom; M_tot = 0.00 Bohr magnetons per cell; ρ = 8.35 g/cm3
1.0
1.711 0.988 13.143
-1.711 0.988 13.143
0.000 -1.976 13.143
Mg Pb
2 3
Cartesian
0.000 0.000 4.036 Mg
0.000 0.000 35.393 Mg
0.000 0.000 11.665 Pb
0.000 0.000 19.714 Pb
0.000 0.000 27.764 Pb

Record 11
Mg5Pb (SCAN, PBEsol geometry); D(E_F) = 0.34 states/eV per atom; formation enthalpy at 0 K = 10 kJ/mol of formula units; ΔE to the lowest computed polymorph = 116 meV/atom; M_tot = 0.00 Bohr magnetons per cell; ρ = 3.78 g/cm3
1.0
0.000 4.163 4.163
4.163 0.000 4.163
4.163 4.163 0.000
Mg Pb
5 1
Cartesian
0.000 0.000 0.000 Mg
3.120 3.120 3.120 Mg
5.205 5.205 3.120 Mg
5.205 3.120 5.205 Mg
3.120 5.205 5.205 Mg
6.244 6.244 6.244 Pb

Record 12
MgPb2 (SCAN, PBEsol geometry); D(E_F) = 0.37 states/eV per atom; formation enthalpy at 0 K = -19 kJ/mol of formula units; ΔE to the lowest computed polymorph = 59 meV/atom; M_tot = 0.00 Bohr magnetons per cell; ρ = 8.29 g/cm3
1.0
4.981 0.000 0.000
0.000 4.981 0.000
0.000 0.000 3.543
Mg Pb
1 2
Cartesian
0.000 0.000 0.000 Mg
0.000 2.491 1.771 Pb
2.491 0.000 1.771 Pb

Record 13
MgPb (SCAN, PBEsol geometry); D(E_F) = 0.40 states/eV per atom; formation enthalpy at 0 K = -18 kJ/mol of formula units; M_tot = 0.00 Bohr magnetons per cell; ρ = 7.38 g/cm3
1.0
3.414 0.000 0.000
-1.707 2.957 0.000
0.000 0.000 5.159
Mg Pb
1 1
Cartesian
0.000 0.000 0.000 Mg
0.000 1.971 2.579 Pb

Record 14
MgPb (SCAN, PBEsol geometry); D(E_F) = 0.47 states/eV per atom; formation enthalpy at 0 K = -5 kJ/mol of formula units; M_tot = 0.00 Bohr magnetons per cell; ρ = 7.29 g/cm3
1.0
3.368 0.000 0.000
-1.684 2.917 0.000
0.000 0.000 10.735
Mg Pb
2 2
Cartesian
0.000 1.945 1.244 Mg
1.684 0.972 9.491 Mg
0.000 1.945 6.894 Pb
1.684 0.972 3.841 Pb

Record 15
MgPb2 (SCAN, PBEsol geometry); D(E_F) = 0.45 states/eV per atom; formation enthalpy at 0 K = -27 kJ/mol of formula units; ΔE to the lowest computed polymorph = 30 meV/atom; M_tot = 0.00 Bohr magnetons per cell; ρ = 8.99 g/cm3
1.0
0.000 6.868 6.868
6.868 0.000 6.868
6.868 6.868 0.000
Mg Pb
8 16
Cartesian
10.789 6.382 6.382 Mg
2.948 2.948 2.948 Mg
7.354 7.354 2.948 Mg
7.354 2.948 7.354 Mg
6.382 10.789 6.382 Mg
6.382 6.382 10.789 Mg
10.789 10.789 10.789 Mg
2.948 7.354 7.354 Mg
0.000 0.000 0.000 Pb
3.434 3.434 0.000 Pb
3.434 0.000 3.434 Pb
5.151 5.151 2.616 Pb
5.151 2.616 5.151 Pb
7.686 5.151 5.151 Pb
8.585 8.585 6.050 Pb
8.585 6.050 8.585 Pb
11.120 8.585 8.585 Pb
0.000 3.434 3.434 Pb
2.616 5.151 5.151 Pb
5.151 7.686 5.151 Pb
5.151 5.151 7.686 Pb
6.050 8.585 8.585 Pb
8.585 11.120 8.585 Pb
8.585 8.585 11.120 Pb

Record 16
MgPb5 (SCAN, PBEsol geometry); D(E_F) = 0.60 states/eV per atom; formation enthalpy at 0 K = 5 kJ/mol of formula units; ΔE to the lowest computed polymorph = 60 meV/atom; M_tot = 0.00 Bohr magnetons per cell; ρ = 10.25 g/cm3
1.0
5.957 0.000 0.000
-2.979 5.159 0.000
0.000 0.000 5.587
Mg Pb
1 5
Cartesian
0.000 0.000 0.000 Mg
-0.978 1.694 2.794 Pb
1.956 0.000 2.794 Pb
0.000 3.439 0.000 Pb
2.979 1.720 0.000 Pb
2.000 3.465 2.794 Pb

Record 17
Mg3Pb (SCAN, PBEsol geometry); D(E_F) = 0.38 states/eV per atom; formation enthalpy at 0 K = -58 kJ/mol of formula units; M_tot = 0.09 Bohr magnetons per cell; ρ = 4.98 g/cm3
1.0
6.350 0.000 0.000
-3.175 5.499 0.000
0.000 0.000 5.345
Mg Pb
6 2
Cartesian
0.000 1.811 1.336 Mg
-1.607 4.594 1.336 Mg
1.568 0.905 4.009 Mg
1.607 4.594 1.336 Mg
4.782 0.905 4.009 Mg
3.175 3.689 4.009 Mg
0.000 3.666 4.009 Pb
3.175 1.833 1.336 Pb

Record 18
Mg3Pb (SCAN, PBEsol geometry); D(E_F) = 0.34 states/eV per atom; formation enthalpy at 0 K = -38 kJ/mol of formula units; M_tot = 0.00 Bohr magnetons per cell; ρ = 4.87 g/cm3
1.0
3.326 0.000 0.000
0.000 5.270 0.000
0.000 0.000 5.449
Mg Pb
3 1
Cartesian
0.000 0.000 0.000 Mg
0.000 2.635 1.836 Mg
1.663 0.000 2.684 Mg
1.663 2.635 4.545 Pb

Record 19
MgPb2 (SCAN, PBEsol geometry); D(E_F) = 0.38 states/eV per atom; formation enthalpy at 0 K = -36 kJ/mol of formula units; ΔE to the lowest computed polymorph = 0 meV/atom; M_tot = 0.00 Bohr magnetons per cell; ρ = 8.78 g/cm3
1.0
2.397 -2.401 0.000
2.397 2.401 0.000
-2.325 0.000 14.416
Mg Pb
2 4
Cartesian
0.654 1.801 10.812 Mg
1.816 -1.801 3.604 Mg
1.816 0.595 1.470 Pb
1.816 0.595 5.738 Pb
0.654 -0.595 8.678 Pb
0.653 -0.595 12.946 Pb

Record 20
Mg2Pb (SCAN, PBEsol geometry); D(E_F) = 0.37 states/eV per atom; formation enthalpy at 0 K = -18 kJ/mol of formula units; M_tot = 0.00 Bohr magnetons per cell; ρ = 5.42 g/cm3
1.0
-3.305 3.305 3.590
3.305 -3.305 3.590
3.305 3.305 -3.590
Mg Pb
4 2
Cartesian
4.422 1.117 0.000 Mg
1.117 2.187 0.000 Mg
2.187 1.117 3.590 Mg
-1.117 2.187 3.590 Mg
0.000 0.000 1.795 Pb
0.000 0.000 5.384 Pb

Record 21
MgPb (SCAN, PBEsol geometry); D(E_F) = 0.39 states/eV per atom; formation enthalpy at 0 K = -24 kJ/mol of formula units; M_tot = 0.00 Bohr magnetons per cell; ρ = 7.49 g/cm3
1.0
5.672 -1.735 0.000
5.672 1.735 0.000
-2.838 0.000 7.824
Mg Pb
3 3
Cartesian
0.000 0.000 0.000 Mg
-0.885 0.000 4.589 Mg
7.020 0.000 2.594 Mg
2.148 0.000 5.188 Pb
3.972 0.000 2.062 Pb
5.380 0.000 7.257 Pb

Record 22
MgPb5 (SCAN, PBEsol geometry); D(E_F) = 0.50 states/eV per atom; formation enthalpy at 0 K = -10 kJ/mol of formula units; ΔE to the lowest computed polymorph = 35 meV/atom; M_tot = 0.00 Bohr magnetons per cell; ρ = 10.22 g/cm3
1.0
2.423 -7.423 0.000
2.423 7.423 0.000
0.000 0.000 4.787
Mg Pb
1 5
Cartesian
0.000 0.000 0.000 Mg
2.423 4.999 2.393 Pb
2.423 2.429 0.000 Pb
2.423 0.000 2.393 Pb
2.423 -2.429 0.000 Pb
2.423 -4.999 2.393 Pb

Record 23
MgPb (SCAN, PBEsol geometry); D(E_F) = 0.38 states/eV per atom; formation enthalpy at 0 K = 0 kJ/mol of formula units; M_tot = 0.00 Bohr magnetons per cell; ρ = 7.19 g/cm3
1.0
0.000 3.768 3.768
3.768 0.000 3.768
3.768 3.768 0.000
Mg Pb
2 2
Cartesian
0.942 0.942 0.942 Mg
6.594 6.594 6.594 Mg
2.826 2.826 2.826 Pb
4.710 4.710 4.710 Pb

Record 24
Mg2Pb (SCAN, PBEsol geometry); D(E_F) = 0.39 states/eV per atom; formation enthalpy at 0 K = -24 kJ/mol of formula units; M_tot = 0.00 Bohr magnetons per cell; ρ = 5.77 g/cm3
1.0
-1.684 1.684 6.496
1.684 -1.684 6.496
1.684 1.684 -6.496
Mg Pb
2 1
Cartesian
0.000 0.000 2.194 Mg
0.000 0.000 10.797 Mg
0.000 0.000 6.496 Pb

Record 25
Mg5Pb4 (SCAN, PBEsol geometry); D(E_F) = 0.36 states/eV per atom; formation enthalpy at 0 K = -110 kJ/mol of formula units; ΔE to the lowest computed polymorph = 12 meV/atom; M_tot = 0.00 Bohr magnetons per cell; ρ = 6.95 g/cm3
1.0
-4.896 4.896 2.368
4.896 -4.896 2.368
4.896 4.896 -2.368
Mg Pb
5 4
Cartesian
0.000 0.000 0.000 Mg
3.289 3.289 0.000 Mg
1.607 -1.607 2.368 Mg
-1.607 1.607 2.368 Mg
1.607 1.607 2.368 Mg
3.073 0.000 0.000 Pb
6.719 0.000 0.000 Pb
0.000 3.073 0.000 Pb
0.000 6.719 0.000 Pb

Record 26
Mg4Pb5 (SCAN, PBEsol geometry); D(E_F) = 0.41 states/eV per atom; formation enthalpy at 0 K = -78 kJ/mol of formula units; ΔE to the lowest computed polymorph = 0 meV/atom; M_tot = 0.00 Bohr magnetons per cell; ρ = 7.98 g/cm3
1.0
9.103 0.000 0.000
-4.551 7.883 0.000
0.000 0.000 6.571
Mg Pb
8 10
Cartesian
0.000 0.000 0.000 Mg
0.000 0.000 3.285 Mg
-1.610 2.789 1.643 Mg
-2.941 5.094 4.928 Mg
3.221 0.000 1.643 Mg
1.610 2.789 4.928 Mg
5.882 0.000 4.928 Mg
2.941 5.094 1.643 Mg
-1.400 2.426 4.928 Pb
-3.151 5.457 1.643 Pb
2.801 0.000 4.928 Pb
1.400 2.426 1.643 Pb
0.000 5.255 0.000 Pb
0.000 5.255 3.285 Pb
4.551 2.628 0.000 Pb
4.551 2.628 3.285 Pb
6.302 0.000 1.643 Pb
3.151 5.457 4.928 Pb